PmSi2Ni3 GGA-PBE relaxed; total DFT energy (no corrections) = -72.915 eV for the cell shown; calculated volume = 178.5 Å³ per cell
1.0
7.315 -1.910 0.000
7.315 1.910 0.000
-2.928 0.000 6.388
Si Ni Pm
4 6 2
Cartesian
4.629 0.000 5.210
10.940 0.000 2.194
0.761 0.000 4.194
7.072 0.000 1.177
12.238 0.000 4.047
2.997 0.000 3.577
8.704 0.000 2.811
-0.537 0.000 2.341
5.007 0.000 2.155
6.694 0.000 4.233
2.056 0.000 0.447
9.645 0.000 5.941